This record from Alexandria describes a relaxed MgNi2B2O6 crystal. The functional is GGA+U.

Calculated values
spin magnetization: 4.00 μB/f.u.
uncorrected energy: -6.420 eV/atom
space group: No. 147

Cell: 4.902 4.902 5.615 Å, 90.00 90.00 120.00°
Atoms (fractional coordinates):
Mg (0.000, 0.000, 0.000)
B (0.333, 0.667, 0.780)
O (0.313, 0.375, 0.774)
O (0.625, 0.938, 0.774)
O (0.938, 0.313, 0.226)
Ni (0.667, 0.333, 0.678)
O (0.062, 0.687, 0.774)
O (0.375, 0.062, 0.226)
Ni (0.333, 0.667, 0.322)
B (0.667, 0.333, 0.220)
O (0.687, 0.625, 0.226)